Record 1
A plane-wave DFT calculation with PBE-GGA was carried out for RbBi2Au3 after structural relaxation.

Geometry as POSCAR:
```
RbBi2Au3
1.0
7.3341 0.0000 0.0000
0.0000 6.8998 -2.2234
0.0000 -0.0589 7.2490
Rb Au Bi
2 6 4
Direct
0.7500 0.3496 0.3496
0.2500 0.6504 0.6504
0.7500 0.8862 0.8862
0.2500 0.1096 0.4954
0.2500 0.1138 0.1138
0.7500 0.8904 0.5046
0.2500 0.4954 0.1096
0.7500 0.5046 0.8904
0.5000 0.8160 0.1840
0.0000 0.8160 0.1840
0.5000 0.1840 0.8160
0.0000 0.1840 0.8160
```

total DFT energy (no corrections)	-19.65	eV/f.u.
SG	Cmcm
offset from the most stable computed form	0.0	meV per atom
crystal system	orthorhombic

=====

Record 2
A plane-wave DFT calculation with PBE-GGA was carried out for ZnCl2 after structural relaxation.

Geometry as POSCAR:
```
ZnCl2
1.0
6.5057 0.0383 0.0000
1.3139 6.3718 0.0000
-3.9098 -3.2050 4.0948
Cl Zn
4 2
Direct
0.9065 0.3750 0.0315
0.1250 0.0935 0.4685
0.3435 0.8750 0.9685
0.6250 0.6565 0.5315
0.2500 0.7500 0.5000
0.0000 0.0000 0.0000
```

ΔE_f (raw)	-110.4	kJ per mole of atoms
total DFT energy (no corrections)	-8.40	eV/f.u.
SG	I-42d
crystal system	tetragonal

=====

Theoretical density list, top to bottom, in g/cm³: 9.93, 2.67